(1)
First-principles (GGA-PBE) data for a geometry-optimized Ir2Pb2F structure, as listed in Alexandria.

Output
- crystal system = tetragonal

Cell lengths 7.8029, 7.8029, 3.2054 Å; angles 90.00, 90.00, 90.00 degrees
Closest atoms and distances in Å follow each position.
Fractional positions:
Ir1 0.1225 0.3775 0.0000  1 Ir 2.70, 6 Pb 2.72-2.87
Ir2 0.3775 0.8775 0.0000  1 Ir 2.70, 6 Pb 2.72-2.87
Ir3 0.6225 0.1225 0.0000  1 Ir 2.70, 6 Pb 2.72-2.87
Ir4 0.8775 0.6225 0.0000  1 Ir 2.70, 6 Pb 2.72-2.87
Pb1 0.1782 0.6782 0.5000  6 Ir 2.72-2.87, 2 F 2.87
Pb2 0.3218 0.1782 0.5000  6 Ir 2.72-2.87, 2 F 2.87
Pb3 0.6782 0.8218 0.5000  6 Ir 2.72-2.87, 2 F 2.87
Pb4 0.8218 0.3218 0.5000  6 Ir 2.72-2.87, 2 F 2.87
F1 0.0000 0.0000 0.5000  4 Pb 2.87, 2 F 3.21
F2 0.5000 0.5000 0.5000  4 Pb 2.87, 2 F 3.21

***

(2)
First-principles (GGA-PBE) data for a geometry-optimized Ir2Pb2F structure, as listed in Alexandria.

Output
- crystal system = tetragonal

Cell lengths 3.6715, 3.6715, 15.8628 Å; angles 90.00, 90.00, 90.00 degrees
Closest atoms and distances in Å follow each position.
Fractional positions:
Ir1 0.0000 0.5000 0.2500  4 Ir 2.60
Ir2 0.0000 0.5000 0.7500  4 Ir 2.60
Ir3 0.5000 0.0000 0.2500  4 Ir 2.60
Ir4 0.5000 0.0000 0.7500  4 Ir 2.60
Pb1 0.0000 0.0000 0.1045  4 Ir 2.95, 4 F 3.08
Pb2 0.0000 0.0000 0.8955  4 Ir 2.95, 4 F 3.08
Pb3 0.5000 0.5000 0.3955  4 Ir 2.95, 4 F 3.08
Pb4 0.5000 0.5000 0.6045  4 Ir 2.95, 4 F 3.08
F1 0.0000 0.0000 0.5000  8 Pb 3.08
F2 0.5000 0.5000 0.0000  8 Pb 3.08

***

Relative energy table, unit eV/atom: (1) 0.312; (2) 0.000

***

(1)
First-principles (GGA-PBE) data for a geometry-optimized Ir3PdF structure, as listed in Alexandria.

Output
- crystal system = cubic

Cell lengths 4.2547, 4.2547, 4.2547 Å; angles 90.00, 90.00, 90.00 degrees
Closest atoms and distances in Å follow each position.
Fractional positions:
Ir1 0.0000 0.0000 0.5000  2 F 2.13
Ir2 0.0000 0.5000 0.0000  2 F 2.13
Ir3 0.5000 0.0000 0.0000  2 F 2.13
Pd1 0.5000 0.5000 0.5000  12 Ir 3.01
F1 0.0000 0.0000 0.0000  6 Ir 2.13

***

(2)
First-principles (GGA-PBE) data for a geometry-optimized Ir3PdF structure, as listed in Alexandria.

Output
- crystal system = cubic

Cell lengths 4.8068, 4.8068, 4.8068 Å; angles 90.00, 90.00, 90.00 degrees
Closest atoms and distances in Å follow each position.
Fractional positions:
Ir1 0.0000 0.0000 0.5000  2 Pd 2.40
Ir2 0.0000 0.5000 0.0000  2 Pd 2.40
Ir3 0.5000 0.0000 0.0000  2 Pd 2.40
Pd1 0.0000 0.0000 0.0000  6 Ir 2.40
F1 0.5000 0.5000 0.5000  12 Ir 3.40

***

Relative energy table, unit eV/atom: (1) 0.000; (2) 0.874

***

(1)
First-principles (GGA-PBE) data for a geometry-optimized IrPd2F structure, as listed in Alexandria.

Output
- crystal system = cubic

Cell lengths 6.1174, 6.1174, 6.1174 Å; angles 90.00, 90.00, 90.00 degrees
Closest atoms and distances in Å follow each position.
Fractional positions:
Ir1 0.0000 0.0000 0.0000  8 Pd 2.65
Ir2 0.0000 0.5000 0.5000  8 Pd 2.65
Ir3 0.5000 0.0000 0.5000  8 Pd 2.65
Ir4 0.5000 0.5000 0.0000  8 Pd 2.65
Pd1 0.2500 0.2500 0.2500  4 F 2.65, 4 Ir 2.65
Pd2 0.2500 0.2500 0.7500  4 F 2.65, 4 Ir 2.65
Pd3 0.2500 0.7500 0.2500  4 F 2.65, 4 Ir 2.65
Pd4 0.2500 0.7500 0.7500  4 F 2.65, 4 Ir 2.65
Pd5 0.7500 0.2500 0.2500  4 F 2.65, 4 Ir 2.65
Pd6 0.7500 0.2500 0.7500  4 F 2.65, 4 Ir 2.65
Pd7 0.7500 0.7500 0.2500  4 F 2.65, 4 Ir 2.65
Pd8 0.7500 0.7500 0.7500  4 F 2.65, 4 Ir 2.65
F1 0.0000 0.0000 0.5000  8 Pd 2.65
F2 0.0000 0.5000 0.0000  8 Pd 2.65
F3 0.5000 0.0000 0.0000  8 Pd 2.65
F4 0.5000 0.5000 0.5000  8 Pd 2.65

***

(2)
First-principles (GGA-PBE) data for a geometry-optimized IrPd2F structure, as listed in Alexandria.

Output
- crystal system = tetragonal

Cell lengths 6.4695, 6.4695, 5.8113 Å; angles 90.00, 90.00, 90.00 degrees
Closest atoms and distances in Å follow each position.
Fractional positions:
Ir1 0.0000 0.0000 0.0000  4 Pd 2.52
Ir2 0.0000 0.5000 0.2500  4 Pd 2.52
Ir3 0.5000 0.0000 0.7500  4 Pd 2.52
Ir4 0.5000 0.5000 0.5000  4 Pd 2.52
Pd1 0.2221 0.7500 0.6250  2 F 2.28, 2 Ir 2.52
Pd2 0.2500 0.2221 0.3750  2 F 2.28, 2 Ir 2.52
Pd3 0.2500 0.2779 0.8750  2 F 2.28, 2 Ir 2.52
Pd4 0.2779 0.7500 0.1250  2 F 2.28, 2 Ir 2.52
Pd5 0.7221 0.2500 0.1250  2 F 2.28, 2 Ir 2.52
Pd6 0.7500 0.7221 0.8750  2 F 2.28, 2 Ir 2.52
Pd7 0.7500 0.7779 0.3750  2 F 2.28, 2 Ir 2.52
Pd8 0.7779 0.2500 0.6250  2 F 2.28, 2 Ir 2.52
F1 0.0000 0.0000 0.5000  4 Pd 2.28
F2 0.0000 0.5000 0.7500  4 Pd 2.28
F3 0.5000 0.0000 0.2500  4 Pd 2.28
F4 0.5000 0.5000 0.0000  4 Pd 2.28

***

Relative energy table, unit eV/atom: (1) 0.000; (2) 0.115

***

(1)
First-principles (GGA-PBE) data for a geometry-optimized Pm2IrF structure, as listed in Alexandria.

Output
- crystal system = trigonal

Cell lengths 4.2482, 4.2482, 22.4706 Å; angles 90.00, 90.00, 120.00 degrees
Closest atoms and distances in Å follow each position.
Fractional positions:
Pm1 0.0000 0.0000 0.1020  1 F 2.29
Pm2 0.0000 0.0000 0.8980  1 F 2.29
Pm3 0.3333 0.6667 0.5647  1 F 2.29
Pm4 0.3333 0.6667 0.7687  1 F 2.29
Pm5 0.6667 0.3333 0.2313  1 F 2.29
Pm6 0.6667 0.3333 0.4353  1 F 2.29
Ir1 0.0000 0.0000 0.5000  6 Pm 2.85
Ir2 0.3333 0.6667 0.1667  6 Pm 2.85
Ir3 0.6667 0.3333 0.8333  6 Pm 2.85
F1 0.0000 0.0000 0.0000  2 Pm 2.29
F2 0.3333 0.6667 0.6667  2 Pm 2.29
F3 0.6667 0.3333 0.3333  2 Pm 2.29

***

(2)
First-principles (GGA-PBE) data for a geometry-optimized Pm2IrF structure, as listed in Alexandria.

Output
- crystal system = trigonal

Cell lengths 4.0170, 4.0170, 23.8067 Å; angles 90.00, 90.00, 120.00 degrees
Closest atoms and distances in Å follow each position.
Fractional positions:
Pm1 0.0000 0.0000 0.0000  3 Ir 2.75
Pm2 0.0000 0.0000 0.1985  3 F 2.57
Pm3 0.3333 0.6667 0.6667  3 Ir 2.75
Pm4 0.3333 0.6667 0.8652  3 F 2.57
Pm5 0.6667 0.3333 0.3333  3 Ir 2.75
Pm6 0.6667 0.3333 0.5319  3 F 2.57
Ir1 0.0000 0.0000 0.6044  6 Pm 2.75-2.89
Ir2 0.3333 0.6667 0.2711  6 Pm 2.75-2.89
Ir3 0.6667 0.3333 0.9378  6 Pm 2.75-2.89
F1 0.0000 0.0000 0.8185  3 Pm 2.57
F2 0.3333 0.6667 0.4851  3 Pm 2.57
F3 0.6667 0.3333 0.1518  3 Pm 2.57

***

Relative energy table, unit eV/atom: (1) 0.000; (2) 0.178

***

(1)
First-principles (GGA-PBE) data for a geometry-optimized IrPt2F structure, as listed in Alexandria.

Output
- crystal system = cubic

Cell lengths 6.1328, 6.1328, 6.1328 Å; angles 90.00, 90.00, 90.00 degrees
Closest atoms and distances in Å follow each position.
Fractional positions:
Ir1 0.0000 0.0000 0.0000  8 Pt 2.66
Ir2 0.0000 0.5000 0.5000  8 Pt 2.66
Ir3 0.5000 0.0000 0.5000  8 Pt 2.66
Ir4 0.5000 0.5000 0.0000  8 Pt 2.66
Pt1 0.2500 0.2500 0.2500  4 F 2.66, 4 Ir 2.66
Pt2 0.2500 0.2500 0.7500  4 F 2.66, 4 Ir 2.66
Pt3 0.2500 0.7500 0.2500  4 F 2.66, 4 Ir 2.66
Pt4 0.2500 0.7500 0.7500  4 F 2.66, 4 Ir 2.66
Pt5 0.7500 0.2500 0.2500  4 F 2.66, 4 Ir 2.66
Pt6 0.7500 0.2500 0.7500  4 F 2.66, 4 Ir 2.66
Pt7 0.7500 0.7500 0.2500  4 F 2.66, 4 Ir 2.66
Pt8 0.7500 0.7500 0.7500  4 F 2.66, 4 Ir 2.66
F1 0.0000 0.0000 0.5000  8 Pt 2.66
F2 0.0000 0.5000 0.0000  8 Pt 2.66
F3 0.5000 0.0000 0.0000  8 Pt 2.66
F4 0.5000 0.5000 0.5000  8 Pt 2.66

***

(2)
First-principles (GGA-PBE) data for a geometry-optimized IrPt2F structure, as listed in Alexandria.

Output
- crystal system = tetragonal

Cell lengths 6.6108, 6.6108, 5.6083 Å; angles 90.00, 90.00, 90.00 degrees
Closest atoms and distances in Å follow each position.
Fractional positions:
Ir1 0.0000 0.0000 0.0000  4 Pt 2.52, 2 F 2.80
Ir2 0.0000 0.5000 0.2500  4 Pt 2.52, 2 F 2.80
Ir3 0.5000 0.0000 0.7500  4 Pt 2.52, 2 F 2.80
Ir4 0.5000 0.5000 0.5000  4 Pt 2.52, 2 F 2.80
Pt1 0.2331 0.2500 0.6250  2 F 2.37, 2 Ir 2.52
Pt2 0.2500 0.7331 0.8750  2 F 2.37, 2 Ir 2.52
Pt3 0.2500 0.7669 0.3750  2 F 2.37, 2 Ir 2.52
Pt4 0.2669 0.2500 0.1250  2 F 2.37, 2 Ir 2.52
Pt5 0.7331 0.7500 0.1250  2 F 2.37, 2 Ir 2.52
Pt6 0.7500 0.2331 0.3750  2 F 2.37, 2 Ir 2.52
Pt7 0.7500 0.2669 0.8750  2 F 2.37, 2 Ir 2.52
Pt8 0.7669 0.7500 0.6250  2 F 2.37, 2 Ir 2.52
F1 0.0000 0.0000 0.5000  4 Pt 2.37
F2 0.0000 0.5000 0.7500  4 Pt 2.37
F3 0.5000 0.0000 0.2500  4 Pt 2.37
F4 0.5000 0.5000 0.0000  4 Pt 2.37

***

Relative energy table, unit eV/atom: (1) 0.000; (2) 0.191

***

(1)
First-principles (GGA-PBE) data for a geometry-optimized Ir3PtF structure, as listed in Alexandria.

Output
- crystal system = cubic

Cell lengths 4.2312, 4.2312, 4.2312 Å; angles 90.00, 90.00, 90.00 degrees
Closest atoms and distances in Å follow each position.
Fractional positions:
Ir1 0.0000 0.0000 0.5000  2 F 2.12
Ir2 0.0000 0.5000 0.0000  2 F 2.12
Ir3 0.5000 0.0000 0.0000  2 F 2.12
Pt1 0.5000 0.5000 0.5000  12 Ir 2.99
F1 0.0000 0.0000 0.0000  6 Ir 2.12

***

(2)
First-principles (GGA-PBE) data for a geometry-optimized Ir3PtF structure, as listed in Alexandria.

Output
- crystal system = cubic

Cell lengths 4.8443, 4.8443, 4.8443 Å; angles 90.00, 90.00, 90.00 degrees
Closest atoms and distances in Å follow each position.
Fractional positions:
Ir1 0.0000 0.0000 0.5000  2 Pt 2.42
Ir2 0.0000 0.5000 0.0000  2 Pt 2.42
Ir3 0.5000 0.0000 0.0000  2 Pt 2.42
Pt1 0.0000 0.0000 0.0000  6 Ir 2.42
F1 0.5000 0.5000 0.5000  12 Ir 3.43

***

Relative energy table, unit eV/atom: (1) 0.000; (2) 0.735